(1)
DFT (PBE) results for an optimized crystal structure of Ta2Ti2Ga.

a = 6.8975 Å, b = 6.8975 Å, c = 3.6791 Å
α = 90.00°, β = 90.00°, γ = 90.00°
With the nearest neighbours (Å) after each atom.
Fractional coordinates of all 10 atoms:
1 Ti 0.3652 0.8652 0.0000  1 Ti 2.63, 6 Ta 2.66-2.79, 2 Ga 2.68
2 Ti 0.8652 0.6348 0.0000  1 Ti 2.63, 6 Ta 2.66-2.79, 2 Ga 2.68
3 Ti 0.6348 0.1348 0.0000  1 Ti 2.63, 6 Ta 2.66-2.79, 2 Ga 2.68
4 Ti 0.1348 0.3652 0.0000  1 Ti 2.63, 6 Ta 2.66-2.79, 2 Ga 2.68
5 Ga 0.0000 0.0000 0.0000  4 Ti 2.68
6 Ga 0.5000 0.5000 0.0000  4 Ti 2.68
7 Ta 0.1682 0.6682 0.5000  6 Ti 2.66-2.79
8 Ta 0.6682 0.8318 0.5000  6 Ti 2.66-2.79
9 Ta 0.8318 0.3318 0.5000  6 Ti 2.66-2.79
10 Ta 0.3318 0.1682 0.5000  6 Ti 2.66-2.79

Results
Fermi-level density of states ... 6.27 states/eV/f.u.
Final energy ... -84.060 eV/cell

---

(2)
DFT (PBE) results for an optimized crystal structure of Ta2Ti2Ga3.

a = 3.6171 Å, b = 5.3279 Å, c = 6.9512 Å
α = 107.76°, β = 90.02°, γ = 109.75°
With the nearest neighbours (Å) after each atom.
Fractional coordinates of all 7 atoms:
1 Ta 0.8752 0.7513 0.5633  4 Ga 2.73-2.88, 4 Ti 2.87-2.93, 3 Ta 2.90-2.99
2 Ta 0.1248 0.2487 0.4367  4 Ga 2.73-2.88, 4 Ti 2.87-2.93, 3 Ta 2.90-2.99
3 Ti 0.6031 0.2054 0.7573  6 Ga 2.73-3.04, 4 Ta 2.87-2.93
4 Ti 0.3969 0.7946 0.2427  6 Ga 2.73-3.04, 4 Ta 2.87-2.93
5 Ga 0.0000 0.0000 0.0000  4 Ga 2.60, 4 Ti 2.88, 2 Ta 2.88
6 Ga 0.6838 0.3677 0.1809  2 Ga 2.60, 3 Ti 2.73-2.79, 3 Ta 2.73
7 Ga 0.3162 0.6323 0.8191  2 Ga 2.60, 3 Ti 2.73-2.79, 3 Ta 2.73

Results
Fermi-level density of states ... 3.62 states/eV/f.u.
Final energy ... -50.180 eV/cell